A plane-wave DFT calculation with PBE was carried out for a relaxed SbH2PtS crystal.

Lattice parameters (Å, degrees): 4.4821 3.6219 10.7288 90.00 105.73 90.00
Fractional coordinates of all 10 atoms:
Sb 0.1101 0.0000 0.9533
Sb 0.1101 0.5000 0.4533
H 0.7429 0.0000 0.7113
H 0.7429 0.5000 0.2113
H 0.5540 0.0000 0.3136
H 0.5540 0.5000 0.8136
Pt 0.5374 0.0000 0.8131
Pt 0.5374 0.5000 0.3131
S 0.1081 0.0000 0.6216
S 0.1081 0.5000 0.1216

## Properties
Distance to the lowest polymorph of the same formula, eV per formula unit: 0.13
E, eV per formula unit: -21.46